First-principles (PBE-GGA) data for an optimized crystal structure of Mn3Pt, as listed in Alexandria.

Unit cell a=4.333 b=4.333 c=4.333 alpha=60.00 beta=60.00 gamma=60.00
Atoms (fractional coordinates):
Mn: 0.000 0.000 0.000
Mn: 0.250 0.250 0.250
Mn: 0.750 0.750 0.750
Pt: 0.500 0.500 0.500

Properties
E   -8.50 eV per atom
E_form   -0.1125 eV/atom

=====

First-principles (PBE-GGA) data for an optimized crystal structure of MnPt3, as listed in Alexandria.

Unit cell a=3.931 b=3.931 c=3.931 alpha=90.00 beta=90.00 gamma=90.00
Atoms (fractional coordinates):
Mn: 0.000 0.000 0.000
Pt: 0.000 0.500 0.500
Pt: 0.500 0.000 0.500
Pt: 0.500 0.500 0.000

Properties
E   -7.19 eV per atom
E_form   -0.3638 eV/atom

=====

First-principles (PBE-GGA) data for an optimized crystal structure of Mn3Pt, as listed in Alexandria.

Unit cell a=2.632 b=2.632 c=8.300 alpha=90.00 beta=90.00 gamma=120.00
Atoms (fractional coordinates):
Mn: 0.000 0.000 0.000
Mn: 0.667 0.333 0.232
Mn: 0.667 0.333 0.768
Pt: 0.000 0.000 0.500

Properties
E   -8.32 eV per atom
E_form   0.0658 eV/atom

=====

First-principles (PBE-GGA) data for an optimized crystal structure of Mn3Pt, as listed in Alexandria.

Unit cell a=8.524 b=8.524 c=8.524 alpha=18.50 beta=18.50 gamma=18.50
Atoms (fractional coordinates):
Mn: 0.000 0.000 0.000
Mn: 0.255 0.255 0.255
Mn: 0.745 0.745 0.745
Pt: 0.500 0.500 0.500

Properties
E   -8.33 eV per atom
E_form   0.0601 eV/atom

=====

First-principles (PBE-GGA) data for an optimized crystal structure of MnPt2, as listed in Alexandria.

Unit cell a=7.167 b=7.167 c=4.596 alpha=90.00 beta=90.00 gamma=157.19
Atoms (fractional coordinates):
Mn: 0.101 0.899 0.750
Mn: 0.899 0.101 0.250
Pt: 0.238 0.762 0.250
Pt: 0.439 0.561 0.750
Pt: 0.561 0.439 0.250
Pt: 0.762 0.238 0.750

Properties
E   -7.35 eV per atom
E_form   -0.2685 eV/atom

=====

First-principles (PBE-GGA) data for an optimized crystal structure of MnPt, as listed in Alexandria.

Unit cell a=8.847 b=8.847 c=8.847 alpha=18.08 beta=18.08 gamma=18.08
Atoms (fractional coordinates):
Mn: 0.128 0.128 0.128
Mn: 0.872 0.872 0.872
Pt: 0.380 0.380 0.380
Pt: 0.620 0.620 0.620

Properties
E   -7.63 eV per atom
E_form   -0.0220 eV/atom

=====

First-principles (PBE-GGA) data for an optimized crystal structure of MnPt, as listed in Alexandria.

Unit cell a=6.810 b=6.810 c=6.810 alpha=109.47 beta=109.47 gamma=109.47
Atoms (fractional coordinates):
Mn: 0.000 0.000 0.616
Mn: 0.000 0.616 0.000
Mn: 0.384 0.384 0.384
Mn: 0.616 0.000 0.000
Pt: 0.000 0.000 0.254
Pt: 0.000 0.254 0.000
Pt: 0.254 0.000 0.000
Pt: 0.746 0.746 0.746

Properties
E   -6.92 eV per atom
E_form   0.6803 eV/atom

=====

First-principles (PBE-GGA) data for an optimized crystal structure of MnPt2, as listed in Alexandria.

Unit cell a=12.126 b=12.126 c=12.126 alpha=166.73 beta=166.73 gamma=18.81
Atoms (fractional coordinates):
Mn: 0.375 0.625 0.750
Mn: 0.625 0.375 0.250
Pt: 0.050 0.800 0.250
Pt: 0.200 0.950 0.250
Pt: 0.800 0.050 0.750
Pt: 0.950 0.200 0.750

Properties
E   -7.30 eV per atom
E_form   -0.2121 eV/atom

=====

First-principles (PBE-GGA) data for an optimized crystal structure of MnPt3, as listed in Alexandria.

Unit cell a=4.575 b=4.575 c=4.575 alpha=90.00 beta=90.00 gamma=90.00
Atoms (fractional coordinates):
Mn: 0.000 0.000 0.000
Pt: 0.000 0.000 0.500
Pt: 0.000 0.500 0.000
Pt: 0.500 0.000 0.000

Properties
E   -5.46 eV per atom
E_form   1.3642 eV/atom

=====

First-principles (PBE-GGA) data for an optimized crystal structure of MnPt, as listed in Alexandria.

Unit cell a=4.061 b=4.061 c=4.061 alpha=60.00 beta=60.00 gamma=60.00
Atoms (fractional coordinates):
Mn: 0.000 0.000 0.000
Pt: 0.250 0.250 0.250

Properties
E   -6.91 eV per atom
E_form   0.6950 eV/atom

=====

First-principles (PBE-GGA) data for an optimized crystal structure of MnPt2, as listed in Alexandria.

Unit cell a=5.278 b=5.278 c=6.688 alpha=107.00 beta=107.00 gamma=30.98
Atoms (fractional coordinates):
Mn: 0.031 0.031 0.288
Mn: 0.969 0.969 0.712
Pt: 0.323 0.323 0.379
Pt: 0.361 0.361 0.971
Pt: 0.639 0.639 0.029
Pt: 0.677 0.677 0.621

Properties
E   -7.35 eV per atom
E_form   -0.2691 eV/atom

=====

First-principles (PBE-GGA) data for an optimized crystal structure of MnPt2, as listed in Alexandria.

Unit cell a=12.280 b=12.280 c=12.280 alpha=161.72 beta=161.72 gamma=25.96
Atoms (fractional coordinates):
Mn: 0.294 0.544 0.750
Mn: 0.456 0.706 0.750
Mn: 0.544 0.294 0.250
Mn: 0.706 0.456 0.250
Pt: 0.040 0.790 0.250
Pt: 0.123 0.373 0.750
Pt: 0.210 0.960 0.250
Pt: 0.373 0.123 0.250
Pt: 0.627 0.877 0.750
Pt: 0.790 0.040 0.750
Pt: 0.877 0.627 0.250
Pt: 0.960 0.210 0.750

Properties
E   -7.45 eV per atom
E_form   -0.3677 eV/atom

=====

First-principles (PBE-GGA) data for an optimized crystal structure of Mn3Pt, as listed in Alexandria.

Unit cell a=2.735 b=3.667 c=5.420 alpha=90.00 beta=90.00 gamma=90.00
Atoms (fractional coordinates):
Mn: 0.000 0.000 0.000
Mn: 0.500 0.500 0.241
Mn: 0.500 0.500 0.759
Pt: 0.000 0.000 0.500

Properties
E   -8.52 eV per atom
E_form   -0.1303 eV/atom

=====

First-principles (PBE-GGA) data for an optimized crystal structure of MnPt3, as listed in Alexandria.

Unit cell a=5.559 b=5.559 c=4.562 alpha=90.00 beta=90.00 gamma=120.00
Atoms (fractional coordinates):
Mn: 0.333 0.667 0.250
Mn: 0.667 0.333 0.750
Pt: 0.167 0.333 0.750
Pt: 0.167 0.833 0.750
Pt: 0.333 0.167 0.250
Pt: 0.667 0.833 0.750
Pt: 0.833 0.167 0.250
Pt: 0.833 0.667 0.250

Properties
E   -7.12 eV per atom
E_form   -0.2979 eV/atom

=====

First-principles (PBE-GGA) data for an optimized crystal structure of MnPt2, as listed in Alexandria.

Unit cell a=4.373 b=4.373 c=2.773 alpha=90.00 beta=90.00 gamma=120.00
Atoms (fractional coordinates):
Mn: 0.000 0.000 0.000
Pt: 0.333 0.667 0.727
Pt: 0.667 0.333 0.273

Properties
E   -7.29 eV per atom
E_form   -0.2027 eV/atom

=====

First-principles (PBE-GGA) data for an optimized crystal structure of Mn3Pt, as listed in Alexandria.

Unit cell a=5.216 b=5.216 c=8.507 alpha=90.00 beta=90.00 gamma=120.00
Atoms (fractional coordinates):
Mn: 0.000 0.500 0.000
Mn: 0.000 0.500 0.500
Mn: 0.172 0.343 0.250
Mn: 0.172 0.828 0.250
Mn: 0.343 0.172 0.750
Mn: 0.500 0.000 0.000
Mn: 0.500 0.000 0.500
Mn: 0.500 0.500 0.000
Mn: 0.500 0.500 0.500
Mn: 0.657 0.828 0.250
Mn: 0.828 0.172 0.750
Mn: 0.828 0.657 0.750
Pt: 0.000 0.000 0.000
Pt: 0.000 0.000 0.500
Pt: 0.333 0.667 0.750
Pt: 0.667 0.333 0.250

Properties
E   -8.47 eV per atom
E_form   -0.0817 eV/atom

=====

First-principles (PBE-GGA) data for an optimized crystal structure of MnPt, as listed in Alexandria.

Unit cell a=9.146 b=9.146 c=2.804 alpha=90.00 beta=90.00 gamma=120.00
Atoms (fractional coordinates):
Mn: 0.050 0.292 0.250
Mn: 0.242 0.950 0.250
Mn: 0.292 0.242 0.750
Mn: 0.708 0.758 0.250
Mn: 0.758 0.050 0.750
Mn: 0.950 0.708 0.750
Pt: 0.145 0.631 0.250
Pt: 0.369 0.513 0.250
Pt: 0.487 0.855 0.250
Pt: 0.513 0.145 0.750
Pt: 0.631 0.487 0.750
Pt: 0.855 0.369 0.750

Properties
E   -7.43 eV per atom
E_form   0.1711 eV/atom

=====

First-principles (PBE-GGA) data for an optimized crystal structure of Mn2Pt3, as listed in Alexandria.

Unit cell a=5.249 b=5.249 c=5.249 alpha=49.21 beta=49.21 gamma=49.21
Atoms (fractional coordinates):
Mn: 0.099 0.099 0.099
Mn: 0.901 0.901 0.901
Pt: 0.289 0.289 0.289
Pt: 0.500 0.500 0.500
Pt: 0.711 0.711 0.711

Properties
E   -7.54 eV per atom
E_form   -0.2506 eV/atom

=====

First-principles (PBE-GGA) data for an optimized crystal structure of MnPt3, as listed in Alexandria.

Unit cell a=5.547 b=5.547 c=9.120 alpha=90.00 beta=90.00 gamma=120.00
Atoms (fractional coordinates):
Mn: 0.000 0.000 0.000
Mn: 0.000 0.000 0.500
Mn: 0.333 0.667 0.250
Mn: 0.667 0.333 0.750
Pt: 0.000 0.500 0.000
Pt: 0.000 0.500 0.500
Pt: 0.167 0.334 0.750
Pt: 0.167 0.833 0.750
Pt: 0.334 0.167 0.250
Pt: 0.500 0.000 0.000
Pt: 0.500 0.000 0.500
Pt: 0.500 0.500 0.000
Pt: 0.500 0.500 0.500
Pt: 0.666 0.833 0.750
Pt: 0.833 0.167 0.250
Pt: 0.833 0.666 0.250

Properties
E   -7.15 eV per atom
E_form   -0.3284 eV/atom

=====

First-principles (PBE-GGA) data for an optimized crystal structure of MnPt, as listed in Alexandria.

Unit cell a=4.590 b=4.590 c=4.590 alpha=36.38 beta=36.38 gamma=36.38
Atoms (fractional coordinates):
Mn: 0.000 0.000 0.000
Pt: 0.500 0.500 0.500

Properties
E   -7.78 eV per atom
E_form   -0.1711 eV/atom